A relaxed K2AgGe crystal. Source: the Alexandria database, functional PBE-GGA.

Values from the calculation:
**E_form**: -0.03 eV per atom
**Final energy**: -2.44 eV/atom

a b c (Å): 6.5101 6.5101 6.3646
angles (deg): 90.00 90.00 74.87
Last column: nearest neighbours and their distance in Å.
Fractional positions:
1 K 0.0227 0.3214 0.2500  4 Ge 3.50-3.72, 3 K 3.56-3.91, 2 Ag 3.66
2 K 0.3214 0.0227 0.7500  4 Ge 3.50-3.72, 3 K 3.56-3.91, 2 Ag 3.66
3 K 0.6786 0.9773 0.2500  4 Ge 3.50-3.72, 3 K 3.56-3.91, 2 Ag 3.66
4 K 0.9773 0.6786 0.7500  4 Ge 3.50-3.72, 3 K 3.56-3.91, 2 Ag 3.66
5 Ag 0.5000 0.5000 0.0000  2 Ge 2.58
6 Ag 0.5000 0.5000 0.5000  2 Ge 2.58
7 Ge 0.2426 0.7574 0.2500  2 Ag 2.58
8 Ge 0.7574 0.2426 0.7500  2 Ag 2.58



A relaxed BaCaAl2 crystal. Source: the Alexandria database, functional PBE-GGA.

Values from the calculation:
**E_form**: -0.07 eV per atom
**Final energy**: -2.93 eV/atom
**Distance to the lowest polymorph of the same formula**: 113 meV/atom

a b c (Å): 5.7688 5.7688 7.2028
angles (deg): 119.04 119.04 46.26
Last column: nearest neighbours and their distance in Å.
Fractional positions:
1 Ba 0.0000 0.0000 0.0000  6 Al 3.60-3.62
2 Ca 0.5000 0.5000 0.5000  6 Al 3.16-3.20
3 Al 0.2383 0.2383 0.5890  2 Al 2.68
4 Al 0.7617 0.7617 0.4110  2 Al 2.68



A relaxed TmUOs2 crystal. Source: the Alexandria database, functional PBE-GGA.

Values from the calculation:
**E_form**: -0.19 eV per atom
**Final energy**: -9.75 eV/atom

a b c (Å): 3.4251 3.4251 6.6579
angles (deg): 90.00 90.00 90.00
Last column: nearest neighbours and their distance in Å.
Fractional positions:
1 Tm 0.0000 0.0000 0.0000  8 Os 3.04, 2 U 3.33
2 U 0.0000 0.0000 0.5000  8 Os 2.85
3 Os 0.5000 0.5000 0.2753  4 U 2.85, 1 Os 2.99, 4 Tm 3.04
4 Os 0.5000 0.5000 0.7247  4 U 2.85, 1 Os 2.99, 4 Tm 3.04



A relaxed Ca2PmRh2 crystal. Source: the Alexandria database, functional PBE-GGA.

Values from the calculation:
**E_form**: -0.45 eV per atom
**Final energy**: -5.14 eV/atom

a b c (Å): 5.9872 5.9872 4.2978
angles (deg): 110.94 110.94 62.71
Last column: nearest neighbours and their distance in Å.
Fractional positions:
1 Ca 0.1944 0.1944 0.1946  6 Rh 3.11-3.34
2 Ca 0.8056 0.8056 0.8054  6 Rh 3.11-3.34
3 Pm 0.5000 0.5000 0.0000  4 Rh 2.78
4 Rh 0.2166 0.7834 0.5000  1 Rh 2.70, 2 Pm 2.78
5 Rh 0.7834 0.2166 0.5000  1 Rh 2.70, 2 Pm 2.78



A relaxed Sr2CrIrRh crystal. Source: the Alexandria database, functional PBE-GGA.

Values from the calculation:
**E_form**: 0.59 eV per atom
**Final energy**: -5.25 eV/atom

a b c (Å): 5.7814 5.7814 4.7328
angles (deg): 90.00 90.00 90.00
Last column: nearest neighbours and their distance in Å.
Fractional positions:
1 Sr 0.0000 0.5000 0.0000  2 Ir 2.89
2 Sr 0.5000 0.0000 0.0000  2 Ir 2.89
3 Cr 0.0000 0.0000 0.5000  8 Sr 3.74, 4 Rh 4.09
4 Ir 0.5000 0.5000 0.0000  2 Rh 2.37
5 Rh 0.5000 0.5000 0.5000  2 Ir 2.37



A relaxed Al4Cd2Ag9 crystal. Source: the Alexandria database, functional PBE-GGA.

Values from the calculation:
**E_form**: 0.01 eV per atom
**Final energy**: -2.82 eV/atom

a b c (Å): 4.5851 4.5851 14.7040
angles (deg): 90.00 90.00 120.00
Last column: nearest neighbours and their distance in Å.
Fractional positions:
1 Al 0.3333 0.6667 0.1498  4 Ag 2.69-2.71, 3 Cd 2.90
2 Al 0.3333 0.6667 0.3760  7 Ag 2.75-2.92
3 Al 0.6667 0.3333 0.6240  7 Ag 2.75-2.92
4 Al 0.6667 0.3333 0.8502  4 Ag 2.69-2.71, 3 Cd 2.90
5 Cd 0.3333 0.6667 0.7701  8 Ag 2.88-3.18, 3 Al 2.90
6 Cd 0.6667 0.3333 0.2299  8 Ag 2.88-3.18, 3 Al 2.90
7 Ag 0.0000 0.0000 0.1095  3 Al 2.71, 4 Ag 2.87-2.95
8 Ag 0.0000 0.0000 0.3099  2 Ag 2.79-2.95, 3 Al 2.82, 3 Cd 2.90
9 Ag 0.0000 0.0000 0.5000  8 Ag 2.79-2.86
10 Ag 0.0000 0.0000 0.6901  2 Ag 2.79-2.95, 3 Al 2.82, 3 Cd 2.90
11 Ag 0.0000 0.0000 0.8905  3 Al 2.71, 4 Ag 2.87-2.95
12 Ag 0.3333 0.6667 0.5743  4 Al 2.75-2.92, 3 Ag 2.86, 1 Cd 2.88
13 Ag 0.3333 0.6667 0.9666  1 Al 2.69, 6 Ag 2.82-2.87, 1 Cd 2.89
14 Ag 0.6667 0.3333 0.0334  1 Al 2.69, 6 Ag 2.82-2.87, 1 Cd 2.89
15 Ag 0.6667 0.3333 0.4257  4 Al 2.75-2.92, 3 Ag 2.86, 1 Cd 2.88



A relaxed LiNiI2N crystal. Source: the Alexandria database, functional PBE-GGA.

Values from the calculation:
**Final energy**: -3.69 eV/atom
**Distance to the lowest polymorph of the same formula**: 0 meV/atom
**Energy relative to the elements, uncorrected**: 3.16 kcal/mol of atoms

a b c (Å): 5.5959 5.5959 3.5429
angles (deg): 90.00 90.00 90.00
Last column: nearest neighbours and their distance in Å.
Fractional positions:
1 Li 0.0000 0.0000 0.0000  8 I 3.31, 2 Li 3.54
2 Ni 0.5000 0.5000 0.5000  2 N 1.77
3 I 0.0000 0.5000 0.5000  2 Ni 2.80
4 I 0.5000 0.0000 0.5000  2 Ni 2.80
5 N 0.5000 0.5000 0.0000  2 Ni 1.77



A relaxed BaSr2GeO crystal. Source: the Alexandria database, functional PBE-GGA.

Values from the calculation:
**Final energy**: -4.30 eV/atom
**Energy relative to the elements, uncorrected**: -30.72 kcal/mol of atoms

a b c (Å): 5.1403 5.1403 5.3746
angles (deg): 90.00 90.00 90.00
Last column: nearest neighbours and their distance in Å.
Fractional positions:
1 Ba 0.0000 0.0000 0.0000  2 O 2.69
2 Sr 0.0000 0.5000 0.5000  2 O 2.57
3 Sr 0.5000 0.0000 0.5000  2 O 2.57
4 Ge 0.5000 0.5000 0.0000  4 Ba 3.63, 8 Sr 3.72
5 O 0.0000 0.0000 0.5000  4 Sr 2.57, 2 Ba 2.69



A relaxed Ba4BiSbO crystal. Source: the Alexandria database, functional PBE-GGA.

Values from the calculation:
**Final energy**: -4.41 eV/atom
**Energy relative to the elements, uncorrected**: -33.63 kcal/mol of atoms

a b c (Å): 10.0967 10.0967 7.5616
angles (deg): 90.00 90.00 136.08
Last column: nearest neighbours and their distance in Å.
Fractional positions:
1 Ba 0.0000 0.5000 0.0000  2 O 2.68
2 Ba 0.0000 0.5000 0.5000  2 O 2.68
3 Ba 0.0714 0.9286 0.7500  3 Sb 3.48-3.87, 1 O 3.61, 2 Bi 3.85
4 Ba 0.4148 0.5852 0.7500  1 O 2.82
5 Ba 0.5000 0.0000 0.0000  2 O 2.68
6 Ba 0.5000 0.0000 0.5000  2 O 2.68
7 Ba 0.5852 0.4148 0.2500  1 O 2.82
8 Ba 0.9286 0.0714 0.2500  3 Sb 3.48-3.87, 1 O 3.61, 2 Bi 3.85
9 Bi 0.3891 0.6109 0.2500  9 Ba 3.67-3.85
10 Bi 0.6109 0.3891 0.7500  9 Ba 3.67-3.85
11 Sb 0.1143 0.8857 0.2500  9 Ba 3.48-3.87
12 Sb 0.8857 0.1143 0.7500  9 Ba 3.48-3.87
13 O 0.2641 0.7359 0.7500  5 Ba 2.68-2.82
14 O 0.7359 0.2641 0.2500  5 Ba 2.68-2.82



A relaxed TbSm4Dy4 crystal. Source: the Alexandria database, functional PBE-GGA.

Values from the calculation:
**E_form**: 0.02 eV per atom
**Final energy**: -4.64 eV/atom
**Distance to the lowest polymorph of the same formula**: 0 meV/atom

a b c (Å): 8.0124 8.0124 8.0124
angles (deg): 95.72 95.72 143.21
Last column: nearest neighbours and their distance in Å.
Fractional positions:
1 Tb 0.0000 0.0000 0.0000  4 Sm 3.57, 8 Dy 3.58
2 Sm 0.0000 0.3319 0.3319  1 Tb 3.57, 6 Dy 3.57-3.59, 5 Sm 3.60-3.62
3 Sm 0.0000 0.6681 0.6681  1 Tb 3.57, 6 Dy 3.57-3.59, 5 Sm 3.60-3.62
4 Sm 0.3319 0.0000 0.3319  1 Tb 3.57, 6 Dy 3.57-3.59, 5 Sm 3.60-3.62
5 Sm 0.6681 0.0000 0.6681  1 Tb 3.57, 6 Dy 3.57-3.59, 5 Sm 3.60-3.62
6 Dy 0.3338 0.3338 0.6676  6 Sm 3.57-3.59, 4 Dy 3.57-3.59, 2 Tb 3.58
7 Dy 0.3338 0.6662 0.0000  6 Sm 3.57-3.59, 4 Dy 3.57-3.59, 2 Tb 3.58
8 Dy 0.6662 0.3338 0.0000  6 Sm 3.57-3.59, 4 Dy 3.57-3.59, 2 Tb 3.58
9 Dy 0.6662 0.6662 0.3324  6 Sm 3.57-3.59, 4 Dy 3.57-3.59, 2 Tb 3.58



A relaxed CsBeAlH6 crystal. Source: the Alexandria database, functional PBE-GGA.

Values from the calculation:
**Final energy**: -3.26 eV/atom

a b c (Å): 4.4223 4.4223 6.4049
angles (deg): 90.00 90.00 120.00
Last column: nearest neighbours and their distance in Å.
Fractional positions:
1 Cs 0.0000 0.0000 0.0000  6 H 2.79
2 Be 0.3333 0.6667 0.5000  6 H 1.64
3 Al 0.6667 0.3333 0.5000  6 H 1.74
4 H 0.0181 0.3800 0.6482  1 Be 1.64, 1 Al 1.74
5 H 0.0181 0.6381 0.3518  1 Be 1.64, 1 Al 1.74
6 H 0.3619 0.3800 0.3518  1 Be 1.64, 1 Al 1.74
7 H 0.3619 0.9819 0.6482  1 Be 1.64, 1 Al 1.74
8 H 0.6200 0.6381 0.6482  1 Be 1.64, 1 Al 1.74
9 H 0.6200 0.9819 0.3518  1 Be 1.64, 1 Al 1.74



A relaxed CrHgAu crystal. Source: the Alexandria database, functional PBE-GGA.

Values from the calculation:
**E_form**: 0.23 eV per atom
**Final energy**: -4.18 eV/atom
**Distance to the lowest polymorph of the same formula**: 0 meV/atom

a b c (Å): 5.1519 5.1519 5.1519
angles (deg): 140.32 140.32 57.37
Last column: nearest neighbours and their distance in Å.
Fractional positions:
1 Cr 0.0000 0.0000 0.0000  5 Au 2.83-3.13, 5 Hg 2.91-2.99
2 Hg 0.3312 0.3312 0.0000  5 Cr 2.91-2.99, 5 Au 2.91-2.95
3 Au 0.6534 0.6534 0.0000  5 Cr 2.83-3.13, 5 Hg 2.91-2.95



A relaxed CrFe2Pd6 crystal. Source: the Alexandria database, functional PBE-GGA.

Values from the calculation:
**E_form**: -0.11 eV per atom
**Final energy**: -6.53 eV/atom

a b c (Å): 8.1591 6.2061 5.9782
angles (deg): 84.06 49.16 46.78
Last column: nearest neighbours and their distance in Å.
Fractional positions:
1 Cr 0.0000 0.0000 0.0000  8 Pd 2.65-2.66, 4 Fe 2.75
2 Fe 0.3357 0.3357 0.6643  8 Pd 2.64-2.65, 2 Cr 2.75, 2 Fe 2.81
3 Fe 0.6643 0.6643 0.3357  8 Pd 2.64-2.65, 2 Cr 2.75, 2 Fe 2.81
4 Pd 0.0110 0.3245 0.6755  3 Fe 2.64-2.65, 1 Cr 2.65, 8 Pd 2.76-2.88
5 Pd 0.3245 0.0110 0.9890  3 Fe 2.64-2.65, 1 Cr 2.65, 8 Pd 2.76-2.88
6 Pd 0.3404 0.6596 0.3404  2 Fe 2.64, 2 Cr 2.66, 8 Pd 2.78-2.87
7 Pd 0.6596 0.3404 0.6596  2 Fe 2.64, 2 Cr 2.66, 8 Pd 2.78-2.87
8 Pd 0.6755 0.9890 0.0110  3 Fe 2.64-2.65, 1 Cr 2.65, 8 Pd 2.76-2.88
9 Pd 0.9890 0.6755 0.3245  3 Fe 2.64-2.65, 1 Cr 2.65, 8 Pd 2.76-2.88



A relaxed BaCa4Se crystal. Source: the Alexandria database, functional PBE-GGA.

Values from the calculation:
**Final energy**: -2.21 eV/atom
**Energy relative to the elements, uncorrected**: 0.56 kcal/mol of atoms

a b c (Å): 7.1237 7.1237 7.1237
angles (deg): 60.00 60.00 60.00
Last column: nearest neighbours and their distance in Å.
Fractional positions:
1 Ba 0.0000 0.0000 0.0000  12 Ca 4.18, 4 Se 4.36
2 Ca 0.1248 0.6251 0.6251  6 Ca 3.56
3 Ca 0.6251 0.1248 0.6251  6 Ca 3.56
4 Ca 0.6251 0.6251 0.1248  6 Ca 3.56
5 Ca 0.6251 0.6251 0.6251  6 Ca 3.56
6 Se 0.2500 0.2500 0.2500  12 Ca 4.18, 4 Ba 4.36



A relaxed ThSn3Pd7 crystal. Source: the Alexandria database, functional PBE-GGA.

Values from the calculation:
**E_form**: -0.52 eV per atom
**Final energy**: -5.59 eV/atom

a b c (Å): 6.5247 6.5247 5.6359
angles (deg): 105.81 105.81 97.02
Last column: nearest neighbours and their distance in Å.
Fractional positions:
1 Th 0.0000 0.0000 0.0000  8 Pd 2.82-3.02
2 Sn 0.2726 0.7274 0.5000  7 Pd 2.65-2.79
3 Sn 0.5000 0.5000 0.0000  6 Pd 2.68-2.86
4 Sn 0.7274 0.2726 0.5000  7 Pd 2.65-2.79
5 Pd 0.0000 0.0000 0.5000  2 Sn 2.66, 2 Pd 2.80, 2 Th 2.82
6 Pd 0.0921 0.5519 0.8160  3 Sn 2.65-2.79, 2 Pd 2.85-2.92
7 Pd 0.3092 0.3092 0.4488  3 Sn 2.71-2.86, 5 Pd 2.80-3.03, 1 Th 2.83
8 Pd 0.4481 0.9079 0.1840  3 Sn 2.65-2.79, 2 Pd 2.85-2.92
9 Pd 0.5519 0.0921 0.8160  3 Sn 2.65-2.79, 2 Pd 2.85-2.92
10 Pd 0.6908 0.6908 0.5512  3 Sn 2.71-2.86, 5 Pd 2.80-3.03, 1 Th 2.83
11 Pd 0.9079 0.4481 0.1840  3 Sn 2.65-2.79, 2 Pd 2.85-2.92



A relaxed YZrV crystal. Source: the Alexandria database, functional PBE-GGA.

Values from the calculation:
**E_form**: 0.25 eV per atom
**Final energy**: -7.79 eV/atom
**Distance to the lowest polymorph of the same formula**: 68 meV/atom

a b c (Å): 4.8560 3.2450 8.7064
angles (deg): 90.00 97.03 90.00
Last column: nearest neighbours and their distance in Å.
Fractional positions:
1 Y 0.0000 0.0000 0.0000  2 Zr 3.12-3.14, 2 V 3.16, 6 Y 3.25-3.37
2 Y 0.4584 0.5000 0.8054  1 V 2.84
3 Zr 0.5525 0.0000 0.2291  6 V 2.87-3.08, 2 Y 3.12-3.14
4 Zr 0.9077 0.0000 0.5806  6 V 2.99-3.12, 3 Zr 3.25-3.32
5 V 0.0535 0.5000 0.3136  1 V 2.08
6 V 0.4026 0.5000 0.4772  1 V 2.08



A relaxed AlSb2Pb crystal. Source: the Alexandria database, functional PBE-GGA.

Values from the calculation:
**Final energy**: -3.71 eV/atom
**Distance to the lowest polymorph of the same formula**: 166 meV/atom
**Energy relative to the elements, uncorrected**: 4.84 kcal/mol of atoms

a b c (Å): 3.4598 3.4598 8.8234
angles (deg): 90.00 90.00 95.46
Last column: nearest neighbours and their distance in Å.
Fractional positions:
1 Al 0.0000 0.0000 0.0000  4 Sb 2.89-3.08, 2 Pb 3.16
2 Sb 0.0000 0.0000 0.5293  8 Sb 3.37-3.53, 4 Pb 3.43-3.60
3 Sb 0.5000 0.5000 0.8051  4 Al 2.89-3.08
4 Pb 0.5000 0.5000 0.2431  4 Al 3.16-3.34, 2 Sb 3.43, 4 Pb 3.46



A relaxed Nb2NiPd7 crystal. Source: the Alexandria database, functional PBE-GGA.

Values from the calculation:
**E_form**: 0.18 eV per atom
**Final energy**: -6.05 eV/atom

a b c (Å): 9.1737 9.1737 2.7608
angles (deg): 90.00 90.00 131.18
Last column: nearest neighbours and their distance in Å.
Fractional positions:
1 Nb 0.1618 0.8382 0.0000  5 Pd 2.51-2.70, 2 Nb 2.76
2 Nb 0.8382 0.1618 0.0000  5 Pd 2.51-2.70, 2 Nb 2.76
3 Ni 0.5000 0.5000 0.5000  8 Pd 2.60, 2 Ni 2.76
4 Pd 0.0000 0.0000 0.0000  2 Nb 2.70, 6 Pd 2.72-2.76
5 Pd 0.2019 0.3877 0.0000  1 Nb 2.51, 2 Ni 2.60, 5 Pd 2.72-2.77
6 Pd 0.2976 0.7024 0.5000  2 Nb 2.65, 6 Pd 2.76-2.77
7 Pd 0.3877 0.2019 0.0000  1 Nb 2.51, 2 Ni 2.60, 5 Pd 2.72-2.77
8 Pd 0.6123 0.7981 0.0000  1 Nb 2.51, 2 Ni 2.60, 5 Pd 2.72-2.77
9 Pd 0.7024 0.2976 0.5000  2 Nb 2.65, 6 Pd 2.76-2.77
10 Pd 0.7981 0.6123 0.0000  1 Nb 2.51, 2 Ni 2.60, 5 Pd 2.72-2.77



A relaxed TaTcPCl2 crystal. Source: the Alexandria database, functional PBE-GGA.

Values from the calculation:
**Final energy**: -5.66 eV/atom
**Distance to the lowest polymorph of the same formula**: 0 meV/atom
**Energy relative to the elements, uncorrected**: 14.05 kcal/mol of atoms

a b c (Å): 4.7389 4.7389 5.0308
angles (deg): 90.00 90.00 90.00
Last column: nearest neighbours and their distance in Å.
Fractional positions:
1 Ta 0.0000 0.0000 0.0000  4 Cl 2.37, 2 P 2.52
2 Tc 0.5000 0.5000 0.5000  4 P 3.35, 8 Cl 3.46
3 P 0.0000 0.0000 0.5000  2 Ta 2.52
4 Cl 0.0000 0.5000 0.0000  2 Ta 2.37
5 Cl 0.5000 0.0000 0.0000  2 Ta 2.37



A relaxed Tb2GaRu2 crystal. Source: the Alexandria database, functional PBE-GGA.

Values from the calculation:
**E_form**: -0.48 eV per atom
**Final energy**: -6.65 eV/atom

a b c (Å): 5.6685 5.6685 7.8010
angles (deg): 103.52 103.52 57.96
Last column: nearest neighbours and their distance in Å.
Fractional positions:
1 Tb 0.0067 0.7040 0.8552  6 Ru 2.93-3.21, 2 Ga 3.19-3.27
2 Tb 0.2960 0.9933 0.6448  6 Ru 2.93-3.21, 2 Ga 3.19-3.27
3 Tb 0.7040 0.0067 0.3552  6 Ru 2.93-3.21, 2 Ga 3.19-3.27
4 Tb 0.9933 0.2960 0.1448  6 Ru 2.93-3.21, 2 Ga 3.19-3.27
5 Ga 0.3743 0.6257 0.2500  4 Ru 2.58-2.63
6 Ga 0.6257 0.3743 0.7500  4 Ru 2.58-2.63
7 Ru 0.2101 0.5129 0.4866  1 Ru 2.52, 2 Ga 2.58-2.63
8 Ru 0.4871 0.7899 0.0134  1 Ru 2.52, 2 Ga 2.58-2.63
9 Ru 0.5129 0.2101 0.9866  1 Ru 2.52, 2 Ga 2.58-2.63
10 Ru 0.7899 0.4871 0.5134  1 Ru 2.52, 2 Ga 2.58-2.63